# EuAl3Pb2O8 | Alexandria via LeMat-Bulk | meta-GGA SCAN | single point on PBEsol structure
# Energy (eV per formula unit): -315.91
# Formation energy (no corrections) (kJ/mol of formula units): -3621
# Density of states at the Fermi level (states/eV/cell): 1.886
# Symmetry: Pn-3m (224)
data_EuAl3Pb2O8
_symmetry_space_group_name_H-M 'P 1'
_symmetry_Int_Tables_number 1
_cell_length_a 9.494
_cell_length_b 9.494
_cell_length_c 9.494
_cell_angle_alpha 90.00
_cell_angle_beta 90.00
_cell_angle_gamma 90.00
loop_
_symmetry_equiv_pos_as_xyz
'x,y,z'
loop_
_atom_site_label
_atom_site_fract_x
_atom_site_fract_y
_atom_site_fract_z
Eu1 0.000 0.000 0.000
Eu2 0.000 0.500 0.500
Eu3 0.500 0.000 0.500
Eu4 0.500 0.500 0.000
Al1 0.000 0.250 0.750
Al2 0.000 0.750 0.250
Al3 0.250 0.000 0.750
Al4 0.250 0.500 0.750
Al5 0.250 0.750 0.000
Al6 0.250 0.750 0.500
Al7 0.500 0.250 0.750
Al8 0.500 0.750 0.250
Al9 0.750 0.000 0.250
Al10 0.750 0.250 0.000
Al11 0.750 0.250 0.500
Al12 0.750 0.500 0.250
Pb1 0.115 0.115 0.385
Pb2 0.115 0.385 0.115
Pb3 0.385 0.115 0.115
Pb4 0.385 0.385 0.385
Pb5 0.615 0.615 0.615
Pb6 0.615 0.885 0.885
Pb7 0.885 0.615 0.885
Pb8 0.885 0.885 0.615
O1 0.091 0.091 0.762
O2 0.091 0.409 0.738
O3 0.091 0.738 0.409
O4 0.091 0.762 0.091
O5 0.140 0.140 0.140
O6 0.140 0.360 0.360
O7 0.238 0.591 0.591
O8 0.238 0.909 0.909
O9 0.262 0.591 0.909
O10 0.262 0.909 0.591
O11 0.360 0.140 0.360
O12 0.360 0.360 0.140
O13 0.409 0.091 0.738
O14 0.409 0.409 0.762
O15 0.409 0.738 0.091
O16 0.409 0.762 0.409
O17 0.591 0.238 0.591
O18 0.591 0.262 0.909
O19 0.591 0.591 0.238
O20 0.591 0.909 0.262
O21 0.640 0.640 0.860
O22 0.640 0.860 0.640
O23 0.738 0.091 0.409
O24 0.738 0.409 0.091
O25 0.762 0.091 0.091
O26 0.762 0.409 0.409
O27 0.860 0.640 0.640
O28 0.860 0.860 0.860
O29 0.909 0.238 0.909
O30 0.909 0.262 0.591
O31 0.909 0.591 0.262
O32 0.909 0.909 0.238